[1]
Below is crystalline Ca2YP2 at its relaxed geometry, with properties calculated at the PBE level.

Cell: 7.7339 7.7339 4.0287 Å, 90.00 90.00 90.00°
With the nearest neighbours (Å) after each atom.
Fractional positions:
1 Ca 0.1420 0.3580 0.0000  6 P 2.89-3.14, 1 Ca 3.11
2 Ca 0.3580 0.8580 0.0000  6 P 2.89-3.14, 1 Ca 3.11
3 Ca 0.6420 0.1420 0.0000  6 P 2.89-3.14, 1 Ca 3.11
4 Ca 0.8580 0.6420 0.0000  6 P 2.89-3.14, 1 Ca 3.11
5 Y 0.0000 0.0000 0.5000  4 P 2.88
6 Y 0.5000 0.5000 0.5000  4 P 2.88
7 P 0.1683 0.6683 0.5000  2 Y 2.88, 6 Ca 2.89-3.14
8 P 0.3317 0.1683 0.5000  2 Y 2.88, 6 Ca 2.89-3.14
9 P 0.6683 0.8317 0.5000  2 Y 2.88, 6 Ca 2.89-3.14
10 P 0.8317 0.3317 0.5000  2 Y 2.88, 6 Ca 2.89-3.14

Summary:
N(E_F)	0.21	states/eV/atom
calculated volume	241	Å³ per cell
energy of formation	-5.2	eV per formula unit

---

[2]
Below is crystalline La2AlNi2 at its relaxed geometry, with properties calculated at the PBE level.

Cell: 7.3771 7.3771 3.9518 Å, 90.00 90.00 90.00°
With the nearest neighbours (Å) after each atom.
Fractional positions:
1 La 0.1799 0.3201 0.0000  6 Ni 2.84-3.02
2 La 0.3201 0.8201 0.0000  6 Ni 2.84-3.02
3 La 0.6799 0.1799 0.0000  6 Ni 2.84-3.02
4 La 0.8201 0.6799 0.0000  6 Ni 2.84-3.02
5 Al 0.0000 0.0000 0.5000  4 Ni 2.92
6 Al 0.5000 0.5000 0.5000  4 Ni 2.92
7 Ni 0.1240 0.6240 0.5000  1 Ni 2.59, 2 La 2.84
8 Ni 0.3760 0.1240 0.5000  1 Ni 2.59, 2 La 2.84
9 Ni 0.6240 0.8760 0.5000  1 Ni 2.59, 2 La 2.84
10 Ni 0.8760 0.3760 0.5000  1 Ni 2.59, 2 La 2.84

Summary:
N(E_F)	0.74	states/eV/atom
calculated volume	215	Å³ per cell
energy of formation	-2.0	eV per formula unit

---

[3]
Below is crystalline LiTaBr2 at its relaxed geometry, with properties calculated at the PBE level.

Cell: 3.4896 3.4896 8.2871 Å, 90.00 90.00 125.15°
With the nearest neighbours (Å) after each atom.
Fractional positions:
1 Li 0.0000 0.0000 0.0000  4 Br 2.53
2 Ta 0.0000 0.0000 0.5000  4 Br 2.72
3 Br 0.5000 0.5000 0.2353  2 Li 2.53, 2 Ta 2.72
4 Br 0.5000 0.5000 0.7647  2 Li 2.53, 2 Ta 2.72

Summary:
N(E_F)	0.36	states/eV/atom
calculated volume	83	Å³ per cell
formation energy without anion corrections	-0.131	eV per atom

---

[4]
Below is crystalline Ca8MgIn2 at its relaxed geometry, with properties calculated at the PBE level.

Cell: 9.8890 9.8890 7.9072 Å, 110.36 110.36 31.98°
With the nearest neighbours (Å) after each atom.
Fractional positions:
1 Ca 0.0274 0.0274 0.2711  1 In 3.24, 2 Mg 3.41
2 Ca 0.1922 0.1922 0.7866  3 In 3.25-3.58
3 Ca 0.3291 0.3291 0.5529  3 In 3.20-3.46, 1 Mg 3.42, 1 Ca 3.57
4 Ca 0.3993 0.3993 0.0372  2 In 3.32, 1 Mg 3.46, 4 Ca 3.57-3.71
5 Ca 0.6007 0.6007 0.9628  2 In 3.32, 1 Mg 3.46, 4 Ca 3.57-3.71
6 Ca 0.6709 0.6709 0.4471  3 In 3.20-3.46, 1 Mg 3.42, 1 Ca 3.57
7 Ca 0.8078 0.8078 0.2134  3 In 3.25-3.58
8 Ca 0.9726 0.9726 0.7289  1 In 3.24, 2 Mg 3.41
9 Mg 0.5000 0.5000 0.5000  8 Ca 3.41-3.46
10 In 0.1827 0.1827 0.1893  9 Ca 3.20-3.58
11 In 0.8173 0.8173 0.8107  9 Ca 3.20-3.58

Summary:
N(E_F)	0.72	states/eV/atom
calculated volume	382	Å³ per cell
energy of formation	-2.4	eV per formula unit